VASP calculation (PBE) on Ac6Sn3S14 after structural relaxation.

Properties
formation energy from raw total energies	-36.36	eV per formula unit
calculated volume	621	Å³ per cell
total DFT energy (no corrections)	-5.6869	eV per atom
theoretical density	5.8	Mg/m³

a b c (Å): 10.8523 10.8523 6.0923
angles (deg): 90.00 90.00 120.00
With the nearest neighbours (Å) after each atom.
Element x y z (fractional)
Ac (0.0257, 0.5669, 0.0000)  8 S 3.05-3.27
Ac (0.3087, 0.0994, 0.5103)  8 S 3.04-3.26
Ac (0.4331, 0.4588, 0.0000)  8 S 3.05-3.27
Ac (0.5412, 0.9743, 0.0000)  8 S 3.05-3.27
Ac (0.7907, 0.6913, 0.5103)  8 S 3.04-3.26
Ac (0.9006, 0.2093, 0.5103)  8 S 3.04-3.26
Sn (0.0000, 0.0000, 0.9308)  4 S 2.37-2.43
Sn (0.3333, 0.6667, 0.4212)  4 S 2.38-2.43
Sn (0.6667, 0.3333, 0.2665)  6 S 2.88-2.91
S (0.0000, 0.0000, 0.3204)  1 Sn 2.37
S (0.0797, 0.8480, 0.7639)  1 Sn 2.43
S (0.1520, 0.2317, 0.7639)  1 Sn 2.43
S (0.1813, 0.4342, 0.2579)  1 Sn 2.43
S (0.2529, 0.8187, 0.2579)  1 Sn 2.43
S (0.3333, 0.6667, 0.8118)  1 Sn 2.38
S (0.4074, 0.1663, 0.0232)  1 Sn 2.88, 3 Ac 3.05-3.12
S (0.4964, 0.4241, 0.5138)  1 Sn 2.91, 3 Ac 3.06-3.11
S (0.5658, 0.7471, 0.2579)  1 Sn 2.43
S (0.5759, 0.0722, 0.5138)  1 Sn 2.91, 3 Ac 3.06-3.11
S (0.7589, 0.5926, 0.0232)  1 Sn 2.88, 3 Ac 3.05-3.12
S (0.7683, 0.9203, 0.7639)  1 Sn 2.43
S (0.8337, 0.2411, 0.0232)  1 Sn 2.88, 3 Ac 3.05-3.12
S (0.9278, 0.5036, 0.5138)  1 Sn 2.91, 3 Ac 3.06-3.11



VASP calculation (PBE) on Ac3SnS2 after structural relaxation.

Properties
formation energy from raw total energies	-9.28	eV per formula unit
calculated volume	388	Å³ per cell
total DFT energy (no corrections)	-5.6446	eV per atom
theoretical density	7.4	Mg/m³

a b c (Å): 4.5474 6.3910 13.3559
angles (deg): 90.00 90.00 90.00
With the nearest neighbours (Å) after each atom.
Element x y z (fractional)
Ac (0.0000, 0.0000, 0.0000)  4 S 3.15, 2 Sn 3.20
Ac (0.0000, 0.0000, 0.3227)  4 S 3.11-3.20, 2 Sn 3.28
Ac (0.0000, 0.0000, 0.6773)  4 S 3.11-3.20, 2 Sn 3.28
Ac (0.5000, 0.5000, 0.1773)  4 S 3.11-3.20, 2 Sn 3.28
Ac (0.5000, 0.5000, 0.5000)  4 S 3.15, 2 Sn 3.20
Ac (0.5000, 0.5000, 0.8227)  4 S 3.11-3.20, 2 Sn 3.28
Sn (0.0000, 0.5000, 0.0000)  6 Ac 3.20-3.28
Sn (0.5000, 0.0000, 0.5000)  6 Ac 3.20-3.28
S (0.0000, 0.5000, 0.3367)  6 Ac 3.11-3.20
S (0.0000, 0.5000, 0.6633)  6 Ac 3.11-3.20
S (0.5000, 0.0000, 0.1633)  6 Ac 3.11-3.20
S (0.5000, 0.0000, 0.8367)  6 Ac 3.11-3.20



VASP calculation (PBE) on Ac3SnS after structural relaxation.

Properties
formation energy from raw total energies	-4.21	eV per formula unit
calculated volume	185	Å³ per cell
total DFT energy (no corrections)	-4.9335	eV per atom
theoretical density	7.5	Mg/m³

a b c (Å): 5.7018 5.7018 5.7018
angles (deg): 90.00 90.00 90.00
With the nearest neighbours (Å) after each atom.
Element x y z (fractional)
Ac (0.0000, 0.0000, 0.5000)  2 S 2.85
Ac (0.0000, 0.5000, 0.0000)  2 S 2.85
Ac (0.5000, 0.0000, 0.0000)  2 S 2.85
Sn (0.5000, 0.5000, 0.5000)  12 Ac 4.03
S (0.0000, 0.0000, 0.0000)  6 Ac 2.85



VASP calculation (PBE) on Ac2SnS6 after structural relaxation.

Properties
formation energy from raw total energies	-10.66	eV per formula unit
calculated volume	452	Å³ per cell
total DFT energy (no corrections)	-5.2934	eV per atom
theoretical density	5.6	Mg/m³

a b c (Å): 5.7735 7.9472 11.1647
angles (deg): 90.00 117.96 90.00
With the nearest neighbours (Å) after each atom.
Element x y z (fractional)
Ac (0.1973, 0.0964, 0.2612)  9 S 3.03-3.29
Ac (0.1973, 0.4036, 0.7612)  9 S 3.03-3.29
Ac (0.8027, 0.5964, 0.2388)  9 S 3.03-3.29
Ac (0.8027, 0.9036, 0.7388)  9 S 3.03-3.29
Sn (0.5000, 0.0000, 0.0000)  6 S 2.51-2.64
Sn (0.5000, 0.5000, 0.5000)  6 S 2.51-2.64
S (0.1047, 0.1938, 0.9697)  1 Sn 2.64, 1 S 2.73
S (0.1047, 0.3062, 0.4697)  1 Sn 2.64, 1 S 2.73
S (0.2847, 0.7106, 0.9715)  1 Sn 2.56, 1 S 2.73
S (0.2847, 0.7894, 0.4715)  1 Sn 2.56, 1 S 2.73
S (0.3186, 0.0326, 0.7483)  1 Sn 2.51
S (0.3186, 0.4674, 0.2483)  1 Sn 2.51
S (0.6814, 0.5326, 0.7517)  1 Sn 2.51
S (0.6814, 0.9674, 0.2517)  1 Sn 2.51
S (0.7153, 0.2106, 0.5285)  1 Sn 2.56, 1 S 2.73
S (0.7153, 0.2894, 0.0285)  1 Sn 2.56, 1 S 2.73
S (0.8953, 0.6938, 0.5303)  1 Sn 2.64, 1 S 2.73
S (0.8953, 0.8062, 0.0303)  1 Sn 2.64, 1 S 2.73



VASP calculation (PBE) on AcSnS2 after structural relaxation.

Properties
formation energy from raw total energies	-4.12	eV per formula unit
calculated volume	99	Å³ per cell
total DFT energy (no corrections)	-5.1214	eV per atom
theoretical density	6.9	Mg/m³

a b c (Å): 3.7708 3.7708 6.9314
angles (deg): 90.00 90.00 90.00
With the nearest neighbours (Å) after each atom.
Element x y z (fractional)
Ac (0.0000, 0.0000, 0.0000)  8 S 3.15, 2 Sn 3.47
Sn (0.0000, 0.0000, 0.5000)  8 S 3.21, 2 Ac 3.47
S (0.5000, 0.5000, 0.2409)  4 Ac 3.15, 4 Sn 3.21, 1 S 3.34
S (0.5000, 0.5000, 0.7591)  4 Ac 3.15, 4 Sn 3.21, 1 S 3.34



VASP calculation (PBE) on Ac3Sn5S12 after structural relaxation.

Properties
formation energy from raw total energies	-20.72	eV per formula unit
calculated volume	2256	Å³ per cell
total DFT energy (no corrections)	-5.1293	eV per atom
theoretical density	4.9	Mg/m³

a b c (Å): 14.3095 14.3095 14.3095
angles (deg): 109.47 109.47 109.47
With the nearest neighbours (Å) after each atom.
Element x y z (fractional)
Ac (0.1250, 0.2500, 0.3750)  8 S 3.12-3.16
Ac (0.1250, 0.3750, 0.7500)  8 S 3.12-3.16
Ac (0.2500, 0.3750, 0.1250)  8 S 3.12-3.16
Ac (0.2500, 0.8750, 0.6250)  8 S 3.12-3.16
Ac (0.3750, 0.1250, 0.2500)  8 S 3.12-3.16
Ac (0.3750, 0.7500, 0.1250)  8 S 3.12-3.16
Ac (0.6250, 0.2500, 0.8750)  8 S 3.12-3.16
Ac (0.6250, 0.8750, 0.7500)  8 S 3.12-3.16
Ac (0.7500, 0.1250, 0.3750)  8 S 3.12-3.16
Ac (0.7500, 0.6250, 0.8750)  8 S 3.12-3.16
Ac (0.8750, 0.6250, 0.2500)  8 S 3.12-3.16
Ac (0.8750, 0.7500, 0.6250)  8 S 3.12-3.16
Sn (0.0000, 0.0000, 0.0000)  6 S 2.83
Sn (0.0000, 0.0000, 0.5000)  6 S 2.83
Sn (0.0000, 0.5000, 0.0000)  6 S 2.83
Sn (0.0000, 0.5000, 0.5000)  6 S 2.83
Sn (0.1250, 0.7500, 0.8750)  4 S 2.47
Sn (0.1250, 0.8750, 0.2500)  4 S 2.47
Sn (0.2500, 0.1250, 0.8750)  4 S 2.47
Sn (0.2500, 0.6250, 0.3750)  4 S 2.47
Sn (0.3750, 0.2500, 0.6250)  4 S 2.47
Sn (0.3750, 0.6250, 0.7500)  4 S 2.47
Sn (0.5000, 0.0000, 0.0000)  6 S 2.83
Sn (0.5000, 0.0000, 0.5000)  6 S 2.83
Sn (0.5000, 0.5000, 0.0000)  6 S 2.83
Sn (0.5000, 0.5000, 0.5000)  6 S 2.83
Sn (0.6250, 0.3750, 0.2500)  4 S 2.47
Sn (0.6250, 0.7500, 0.3750)  4 S 2.47
Sn (0.7500, 0.3750, 0.6250)  4 S 2.47
Sn (0.7500, 0.8750, 0.1250)  4 S 2.47
Sn (0.8750, 0.1250, 0.7500)  4 S 2.47
Sn (0.8750, 0.2500, 0.1250)  4 S 2.47
S (0.0368, 0.2204, 0.1306)  1 Sn 2.47
S (0.0368, 0.3164, 0.9063)  1 Sn 2.47
S (0.0899, 0.7204, 0.6836)  1 Sn 2.47
S (0.0899, 0.8694, 0.4063)  1 Sn 2.47
S (0.0937, 0.6306, 0.4101)  1 Sn 2.47
S (0.0937, 0.9632, 0.6836)  1 Sn 2.47
S (0.1306, 0.0368, 0.2204)  1 Sn 2.47
S (0.1306, 0.5937, 0.9101)  1 Sn 2.47
S (0.1836, 0.2204, 0.5899)  1 Sn 2.47
S (0.1836, 0.4632, 0.5937)  1 Sn 2.47
S (0.2204, 0.1306, 0.0368)  1 Sn 2.47
S (0.2204, 0.5899, 0.1836)  1 Sn 2.47
S (0.2796, 0.3164, 0.9101)  1 Sn 2.47
S (0.2796, 0.4632, 0.3694)  1 Sn 2.47
S (0.3164, 0.9063, 0.0368)  1 Sn 2.47
S (0.3164, 0.9101, 0.2796)  1 Sn 2.47
S (0.3694, 0.2796, 0.4632)  1 Sn 2.47
S (0.3694, 0.5899, 0.9063)  1 Sn 2.47
S (0.4063, 0.0899, 0.8694)  1 Sn 2.47
S (0.4063, 0.8164, 0.5368)  1 Sn 2.47
S (0.4101, 0.0937, 0.6306)  1 Sn 2.47
S (0.4101, 0.8164, 0.7796)  1 Sn 2.47
S (0.4632, 0.3694, 0.2796)  1 Sn 2.47
S (0.4632, 0.5937, 0.1836)  1 Sn 2.47
S (0.5368, 0.4063, 0.8164)  1 Sn 2.47
S (0.5368, 0.6306, 0.7204)  1 Sn 2.47
S (0.5899, 0.1836, 0.2204)  1 Sn 2.47
S (0.5899, 0.9063, 0.3694)  1 Sn 2.47
S (0.5937, 0.1836, 0.4632)  1 Sn 2.47
S (0.5937, 0.9101, 0.1306)  1 Sn 2.47
S (0.6306, 0.4101, 0.0937)  1 Sn 2.47
S (0.6306, 0.7204, 0.5368)  1 Sn 2.47
S (0.6836, 0.0899, 0.7204)  1 Sn 2.47
S (0.6836, 0.0937, 0.9632)  1 Sn 2.47
S (0.7204, 0.5368, 0.6306)  1 Sn 2.47
S (0.7204, 0.6836, 0.0899)  1 Sn 2.47
S (0.7796, 0.4101, 0.8164)  1 Sn 2.47
S (0.7796, 0.8694, 0.9632)  1 Sn 2.47
S (0.8164, 0.5368, 0.4063)  1 Sn 2.47
S (0.8164, 0.7796, 0.4101)  1 Sn 2.47
S (0.8694, 0.4063, 0.0899)  1 Sn 2.47
S (0.8694, 0.9632, 0.7796)  1 Sn 2.47
S (0.9063, 0.0368, 0.3164)  1 Sn 2.47
S (0.9063, 0.3694, 0.5899)  1 Sn 2.47
S (0.9101, 0.1306, 0.5937)  1 Sn 2.47
S (0.9101, 0.2796, 0.3164)  1 Sn 2.47
S (0.9632, 0.6836, 0.0937)  1 Sn 2.47
S (0.9632, 0.7796, 0.8694)  1 Sn 2.47